Record 1
! PBE PmMg3Pd, relaxed; values from VASP
! Formation energy from the elements: -0.39 eV per atom
&SYSTEM
  ibrav = 0, nat = 10, ntyp = 3
/
ATOMIC_SPECIES
Pm 145.00 Pm.upf
Mg 24.30 Mg.upf
Pd 106.42 Pd.upf
CELL_PARAMETERS angstrom
5.1780 0.0000 -2.1488
-0.0001 5.9113 0.0000
-0.1059 -0.0001 7.6327
ATOMIC_POSITIONS angstrom
Pm 3.6556 5.6017 5.3049
Pm 1.5347 2.6460 4.3841
Mg 4.4737 2.6461 -0.5635
Mg 0.8225 5.6016 2.6198
Mg 3.7238 1.1515 2.1147
Mg 3.7237 4.1404 2.1148
Mg 1.5725 4.1073 -0.0585
Mg 1.5725 1.1848 -0.0585
Pd 4.4984 2.6460 4.3175
Pd 0.6920 5.6017 5.3715

Record 2
! PBE Pm8Mg2Pd, relaxed; values from VASP
! Formation energy from the elements: -0.10 eV per atom
&SYSTEM
  ibrav = 0, nat = 11, ntyp = 3
/
ATOMIC_SPECIES
Pm 145.00 Pm.upf
Mg 24.30 Mg.upf
Pd 106.42 Pd.upf
CELL_PARAMETERS angstrom
5.5402 0.0000 0.0000
0.0000 7.1288 0.0808
-2.7701 -2.9645 8.4986
ATOMIC_POSITIONS angstrom
Pm 0.0000 1.6958 6.9133
Pm 2.7701 5.7984 2.6439
Pm 2.7701 3.4427 5.2118
Pm 2.7701 -1.2607 8.2341
Pm 0.0000 0.7217 3.3677
Pm 0.0000 -1.6341 5.9356
Pm 2.7701 2.4685 1.6661
Pm 0.0000 5.4250 0.3454
Mg 2.7701 0.2463 5.3710
Mg 0.0000 3.9180 3.2085
Pd 2.7701 0.0000 0.0000

Record 3
! PBE PmMg5Pd2, relaxed; values from VASP
! Formation energy from the elements: -0.45 eV per atom
&SYSTEM
  ibrav = 0, nat = 8, ntyp = 3
/
ATOMIC_SPECIES
Pm 145.00 Pm.upf
Mg 24.30 Mg.upf
Pd 106.42 Pd.upf
CELL_PARAMETERS angstrom
4.1370 0.0000 0.0000
2.0685 6.5403 -0.3779
2.0685 1.6074 6.3510
ATOMIC_POSITIONS angstrom
Pm 0.0000 0.0000 0.0000
Mg 2.0685 4.0738 2.9865
Mg 4.1370 3.6965 0.7855
Mg 4.1370 4.4512 5.1876
Mg 4.1370 6.2864 2.6842
Mg 4.1370 1.8613 3.2889
Pd 6.2055 6.2713 4.5975
Pd 2.0685 1.8764 1.3756

Which value of formation energy from the elements does entry 3 give?
-0.45 eV per atom

formation energy from the elements of number 2 (Pm8Mg2Pd)?
-0.10 eV per atom

Repeat the second record exactly.
! PBE Pm8Mg2Pd, relaxed; values from VASP
! Formation energy from the elements: -0.10 eV per atom
&SYSTEM
  ibrav = 0, nat = 11, ntyp = 3
/
ATOMIC_SPECIES
Pm 145.00 Pm.upf
Mg 24.30 Mg.upf
Pd 106.42 Pd.upf
CELL_PARAMETERS angstrom
5.5402 0.0000 0.0000
0.0000 7.1288 0.0808
-2.7701 -2.9645 8.4986
ATOMIC_POSITIONS angstrom
Pm 0.0000 1.6958 6.9133
Pm 2.7701 5.7984 2.6439
Pm 2.7701 3.4427 5.2118
Pm 2.7701 -1.2607 8.2341
Pm 0.0000 0.7217 3.3677
Pm 0.0000 -1.6341 5.9356
Pm 2.7701 2.4685 1.6661
Pm 0.0000 5.4250 0.3454
Mg 2.7701 0.2463 5.3710
Mg 0.0000 3.9180 3.2085
Pd 2.7701 0.0000 0.0000

Look up the formation energy from the elements of the third one.
-0.45 eV per atom